No. 1
# Sc2ReAg

An optimized crystal structure of Sc2ReAg (GGA-PBE, Alexandria).

Cell and atoms, written as extended XYZ:
```
8
Lattice="-2.0847 2.0847 9.2613 2.0847 -2.0847 9.2613 2.0847 2.0847 -9.2613" Properties=species:S:1:pos:R:3 pbc="T T T"
Sc 3.1271 0.9872 -2.3153
Sc 0.9872 1.0424 2.3153
Sc -1.0424 1.0975 6.9460
Sc 1.0975 1.0424 11.5767
Re 0.0000 0.0000 0.0000
Re 0.0000 2.0847 4.6307
Ag 2.0847 0.0000 4.6307
Ag 0.0000 0.0000 9.2613
```

Properties
As for the space group: No. 122. For the density of states at the Fermi level, the calculation gives 1.22 states/eV/atom. As for the uncorrected energy: -6.30 eV per atom. Its volume is 20.1 A^3/atom. The value obtained for the energy relative to the elements is 266 kJ/mol of formula units.


No. 2
# Rb2MgTiI6

An optimized crystal structure of Rb2MgTiI6 (GGA-PBE, Alexandria).

Cell and atoms, written as extended XYZ:
```
10
Lattice="0.0000 5.8418 5.8418 5.8418 0.0000 5.8418 5.8418 5.8418 0.0000" Properties=species:S:1:pos:R:3 pbc="T T T"
Rb 2.9209 2.9209 2.9209
Rb 8.7627 8.7627 8.7627
Mg 0.0000 0.0000 0.0000
Ti 5.8418 5.8418 5.8418
I 5.8418 5.8418 2.9326
I 5.8418 2.9326 5.8418
I 8.7510 5.8418 5.8418
I 2.9326 5.8418 5.8418
I 5.8418 8.7510 5.8418
I 5.8418 5.8418 8.7510
```

Properties
As for the space group: No. 225. As for the formation energy (no corrections): -1.010 eV per atom. For the density of states at the Fermi level, the calculation gives 0.87 states/eV/atom. As for the uncorrected energy: -3.08 eV per atom. Its volume is 39.9 A^3/atom.


No. 3
# Ac2Ga3Pd4Au

An optimized crystal structure of Ac2Ga3Pd4Au (GGA-PBE, Alexandria).

Cell and atoms, written as extended XYZ:
```
10
Lattice="4.4879 0.0000 0.0000 0.0000 4.4879 0.0000 0.0000 0.0000 10.5676" Properties=species:S:1:pos:R:3 pbc="T T T"
Ac 0.0000 2.2439 2.6236
Ac 2.2439 0.0000 7.9440
Ga 0.0000 0.0000 0.0000
Ga 0.0000 2.2439 6.4908
Ga 2.2439 0.0000 4.0768
Pd 0.0000 0.0000 5.2838
Pd 0.0000 2.2439 8.9947
Pd 2.2439 0.0000 1.5729
Pd 2.2439 2.2439 5.2838
Au 2.2439 2.2439 0.0000
```

Properties
As for the space group: No. 115. For the density of states at the Fermi level, the calculation gives 0.48 states/eV/atom. As for the uncorrected energy: -4.91 eV per atom. Its volume is 21.3 A^3/atom. The value obtained for the energy relative to the elements is -751 kJ/mol of formula units.


No. 4
# La6DyHo2

An optimized crystal structure of La6DyHo2 (GGA-PBE, Alexandria).

Cell and atoms, written as extended XYZ:
```
9
Lattice="3.6568 0.0000 0.0000 -1.8284 3.1669 0.0000 0.0000 0.0000 27.5829" Properties=species:S:1:pos:R:3 pbc="T T T"
La 0.0000 0.0000 1.8385
La 0.0000 0.0000 7.6387
La 0.0000 0.0000 19.9442
La 0.0000 0.0000 25.7444
La 0.0000 2.1112 10.8626
La 0.0000 2.1112 16.7203
Dy 0.0000 0.0000 13.7914
Ho 0.0000 2.1112 4.7060
Ho 0.0000 2.1112 22.8769
```

Properties
As for the space group: No. 187. For the density of states at the Fermi level, the calculation gives 1.86 states/eV/atom. As for the uncorrected energy: -4.76 eV per atom. Its volume is 35.5 A^3/atom. The value obtained for the energy relative to the elements is 49 kJ/mol of formula units.


No. 5
# Tm8ThBi6

An optimized crystal structure of Tm8ThBi6 (GGA-PBE, Alexandria).

Cell and atoms, written as extended XYZ:
```
15
Lattice="3.7593 2.1704 10.0099 -3.7593 2.1704 10.0099 0.0000 -4.3409 10.0099" Properties=species:S:1:pos:R:3 pbc="T T T"
Tm -2.4367 0.0265 11.3186
Tm 0.0000 0.0000 4.9900
Tm -1.2413 -2.0970 18.7112
Tm 1.1954 -2.1235 11.3186
Tm -1.1954 2.1235 18.7112
Tm 1.2413 2.0970 11.3186
Tm 0.0000 0.0000 25.0398
Tm 2.4367 -0.0265 18.7112
Th 0.0000 0.0000 15.0149
Bi -1.3040 -2.2256 13.1054
Bi -2.5794 0.0165 16.9243
Bi -1.2754 2.2421 13.1055
Bi 1.2754 -2.2421 16.9244
Bi 2.5794 -0.0165 13.1054
Bi 1.3040 2.2256 16.9243
```

Properties
As for the space group: No. 148. For the density of states at the Fermi level, the calculation gives 0.66 states/eV/atom. As for the uncorrected energy: -4.85 eV per atom. Its volume is 32.7 A^3/atom. The value obtained for the energy relative to the elements is -602 kJ/mol of formula units.


No. 6
# Sc2TiPt

An optimized crystal structure of Sc2TiPt (GGA-PBE, Alexandria).

Cell and atoms, written as extended XYZ:
```
4
Lattice="1.5484 0.8940 9.7450 -1.5484 0.8940 9.7450 0.0000 -1.7879 9.7450" Properties=species:S:1:pos:R:3 pbc="T T T"
Sc 0.0000 0.0000 2.7308
Sc 0.0000 0.0000 26.5043
Ti 0.0000 0.0000 0.0000
Pt 0.0000 0.0000 14.6176
```

Properties
As for the space group: No. 166. For the density of states at the Fermi level, the calculation gives 1.02 states/eV/atom. As for the uncorrected energy: -6.74 eV per atom. Its volume is 20.2 A^3/atom. The value obtained for the energy relative to the elements is -36 kJ/mol of formula units.


No. 7
# Ho4CdRh3

An optimized crystal structure of Ho4CdRh3 (GGA-PBE, Alexandria).

Cell and atoms, written as extended XYZ:
```
8
Lattice="4.8767 0.0000 0.0000 0.0000 4.8767 0.0000 0.0000 0.0000 7.1263" Properties=species:S:1:pos:R:3 pbc="T T T"
Ho 0.0000 2.4383 1.6852
Ho 0.0000 2.4383 5.4411
Ho 2.4383 0.0000 1.6852
Ho 2.4383 0.0000 5.4411
Cd 0.0000 0.0000 3.5631
Rh 0.0000 0.0000 0.0000
Rh 2.4383 2.4383 0.0000
Rh 2.4383 2.4383 3.5631
```

Properties
As for the space group: No. 123. For the density of states at the Fermi level, the calculation gives 0.87 states/eV/atom. As for the uncorrected energy: -5.87 eV per atom. Its volume is 21.2 A^3/atom. The value obtained for the energy relative to the elements is -548 kJ/mol of formula units.


No. 8
# DyHoTh2Se4

An optimized crystal structure of DyHoTh2Se4 (GGA-PBE, Alexandria).

Cell and atoms, written as extended XYZ:
```
8
Lattice="6.9435 0.0000 0.0000 0.0000 4.0460 0.0000 -2.3575 0.0000 7.1184" Properties=species:S:1:pos:R:3 pbc="T T T"
Dy 0.0000 0.0000 0.0000
Ho 3.4718 2.0230 0.0000
Th -1.1787 2.0230 3.5592
Th 2.2930 0.0000 3.5592
Se 1.1548 2.0230 1.6582
Se -0.0283 0.0000 5.4643
Se 4.6144 0.0000 1.6541
Se 3.4312 2.0230 5.4602
```

Properties
As for the space group: No. 10. As for the formation energy (no corrections): -1.631 eV per atom. For the density of states at the Fermi level, the calculation gives 0.69 states/eV/atom. As for the uncorrected energy: -6.38 eV per atom. Its volume is 25.0 A^3/atom.


No. 9
# MgAlTe2

An optimized crystal structure of MgAlTe2 (GGA-PBE, Alexandria).

Cell and atoms, written as extended XYZ:
```
4
Lattice="3.9573 0.0000 0.0000 0.0000 4.0459 0.0000 0.0000 0.0000 8.0173" Properties=species:S:1:pos:R:3 pbc="T T T"
Mg 0.0000 0.0000 0.0000
Al 0.0000 2.0230 4.0086
Te 1.9787 0.0000 4.0086
Te 1.9787 2.0230 0.0000
```

Properties
As for the space group: No. 47. As for the formation energy (no corrections): -0.194 eV per atom. For the density of states at the Fermi level, the calculation gives 0.25 states/eV/atom. As for the uncorrected energy: -3.10 eV per atom. Its volume is 32.1 A^3/atom.


No. 10
# Fe5Cl4

An optimized crystal structure of Fe5Cl4 (GGA-PBE, Alexandria).

Cell and atoms, written as extended XYZ:
```
9
Lattice="-5.6946 5.6946 1.6423 5.6946 -5.6946 1.6423 5.6946 5.6946 -1.6423" Properties=species:S:1:pos:R:3 pbc="T T T"
Fe 0.0000 0.0000 0.0000
Fe 4.4201 4.4201 0.0000
Fe 1.2744 -1.2744 1.6423
Fe -1.2744 1.2744 1.6423
Fe 1.2744 1.2744 1.6423
Cl 2.9080 0.0000 0.0000
Cl 8.4811 0.0000 0.0000
Cl 0.0000 2.9080 0.0000
Cl 0.0000 8.4811 0.0000
```

Properties
As for the space group: No. 139. As for the formation energy (no corrections): 0.050 eV per atom. For the density of states at the Fermi level, the calculation gives 0.36 states/eV/atom. As for the uncorrected energy: -5.47 eV per atom. Its volume is 23.7 A^3/atom.


No. 11
# La4Pm2Er2Tm

An optimized crystal structure of La4Pm2Er2Tm (GGA-PBE, Alexandria).

Cell and atoms, written as extended XYZ:
```
9
Lattice="7.7721 -2.5948 0.0000 7.7721 2.5948 0.0000 -2.5973 0.0000 7.6517" Properties=species:S:1:pos:R:3 pbc="T T T"
La -0.0107 0.0000 2.5086
La 2.5637 0.0000 5.1240
La 10.3831 0.0000 2.5277
La 12.9575 0.0000 5.1431
Pm 5.1743 0.0000 2.5153
Pm 7.7725 0.0000 5.1364
Er 0.0007 0.0000 7.6506
Er 12.9460 0.0000 0.0011
Tm 7.7721 0.0000 0.0000
```

Properties
As for the space group: No. 12. For the density of states at the Fermi level, the calculation gives 1.81 states/eV/atom. As for the uncorrected energy: -4.72 eV per atom. Its volume is 34.3 A^3/atom. The value obtained for the energy relative to the elements is 28 kJ/mol of formula units.


No. 12
# YbNi5P3

An optimized crystal structure of YbNi5P3 (GGA-PBE, Alexandria).

Cell and atoms, written as extended XYZ:
```
18
Lattice="1.7807 -5.8365 0.0000 1.7807 5.8365 0.0000 0.0000 0.0000 11.4381" Properties=species:S:1:pos:R:3 pbc="T T T"
Yb 1.7807 3.9815 8.5786
Yb 1.7807 -3.9815 2.8595
Ni 0.0000 0.0000 0.0000
Ni 0.0000 0.0000 5.7190
Ni 1.7807 3.5065 0.8015
Ni 1.7807 3.5065 4.9175
Ni 1.7807 0.5997 7.3760
Ni 1.7807 0.5997 9.7812
Ni 1.7807 -0.5997 1.6569
Ni 1.7807 -0.5997 4.0621
Ni 1.7807 -3.5065 6.5206
Ni 1.7807 -3.5065 10.6366
P 1.7807 4.4513 2.8595
P 1.7807 1.3754 0.4973
P 1.7807 1.3754 5.2217
P 1.7807 -1.3754 6.2164
P 1.7807 -1.3754 10.9408
P 1.7807 -4.4513 8.5786
```

Properties
As for the space group: No. 63. For the density of states at the Fermi level, the calculation gives 1.74 states/eV/atom. As for the uncorrected energy: -5.93 eV per atom. Its volume is 13.2 A^3/atom. The value obtained for the energy relative to the elements is -648 kJ/mol of formula units.